A relaxed structure of TaRh2Cl. Source: the Alexandria database, functional PBE-GGA.

Computed properties:
**Total magnetic moment**: 0.36 μB/cell
**Uncorrected formation energy**: 36 meV per atom
**Distance to the lowest polymorph of the same formula**: 0.3801 eV per atom

The structure in POSCAR format:
```
TaRh2Cl
1.0
2.9151 0.0000 0.0000
0.0000 2.9151 0.0000
0.0000 0.0000 7.4065
Ta Rh Cl
1 2 1
Direct
0.0000 0.0000 0.0000
0.0000 0.0000 0.5044
0.5000 0.5000 0.7634
0.5000 0.5000 0.2257
```